Below is an optimized crystal structure of NaCr2CoCl, with properties calculated at the GGA-PBEsol level.

The space group is P4/mmm (No. 123) and the conventional cell measures 5.109, 5.109 and 4.576 Å, with angles of 90.00, 90.00 and 90.00 degrees. The inequivalent atoms are Na at (0.000, 0.000, 0.000), Cr at (0.000, 0.500, 0.000), Co at (0.500, 0.500, 0.500) and Cl at (0.000, 0.000, 0.500).

Below is an optimized crystal structure of Cs2CoCl4, with properties calculated at the GGA-PBEsol level.

The space group is Pnma (No. 62) and the conventional cell measures 9.681, 7.232 and 12.660 Å, with angles of 90.00, 90.00 and 90.00 degrees. The inequivalent atoms are Cs at (0.021, 0.250, 0.170), Cs at (0.139, 0.750, 0.401), Co at (0.237, 0.750, 0.078), Cl at (0.010, 0.750, 0.103), Cl at (0.174, 0.501, 0.652) and Cl at (0.186, 0.250, 0.413).

Below is an optimized crystal structure of Cs3CoCl5, with properties calculated at the GGA-PBEsol level.

The space group is I4/mcm (No. 140) and the conventional cell measures 9.131, 9.131 and 14.196 Å, with angles of 90.00, 90.00 and 90.00 degrees. The inequivalent atoms are Cs at (0.000, 0.000, 0.250), Cs at (0.164, 0.336, 0.000), Co at (0.000, 0.500, 0.250), Cl at (0.000, 0.000, 0.000) and Cl at (0.139, 0.361, 0.342).

Computed DFT total energy (eV/atom) in order:
-4.487, -3.925, -3.819
Computed energy relative to the elements, uncorrected (eV per atom) in order:
1.839, -1.403, -1.529